# 1
VASP calculation (PBE) on a relaxed structure of TcHgOs2.

As for the total moment: 1.663 μB per cell. Its symmetry is No. 123. Its final energy is -7.388 eV/atom.

Cell: 3.9753 3.9846 3.9846 Å, 90.00 90.00 90.00°
Sites, in units of the cell vectors:
Hg: 0.5000 0.0000 0.5000
Os: 0.0000 0.0000 0.0000
Os: 0.0000 0.5000 0.5000
Tc: 0.5000 0.5000 0.0000

---

# 2
VASP calculation (PBE) on a relaxed structure of HfAs2Br.

The value obtained for the polymorph energy (0 for the lowest one) is 0.2983 eV/atom. As for the total moment: 0.000 μB per cell. Its symmetry is No. 225. Its final energy is -4.977 eV/atom. As for the formation energy from raw total energies: 254 meV per atom.

Cell: 4.8976 4.8976 4.8976 Å, 60.00 60.00 60.00°
Sites, in units of the cell vectors:
As: 0.2500 0.2500 0.2500
As: 0.7500 0.7500 0.7500
Hf: 0.5000 0.5000 0.5000
Br: 0.0000 0.0000 0.0000

---

# 3
VASP calculation (PBE) on a relaxed structure of Zr2TaTeN.

As for the total moment: 0.000 μB per cell. Its symmetry is No. 123. Its final energy is -6.323 eV/atom. As for the formation energy from raw total energies: 1761 meV per atom.

Cell: 5.1607 5.0593 5.1607 Å, 90.00 90.00 90.00°
Sites, in units of the cell vectors:
N: 0.5000 0.5000 0.5000
Te: 0.0000 0.5000 0.0000
Zr: 0.0000 0.0000 0.5000
Zr: 0.5000 0.0000 0.0000
Ta: 0.0000 0.0000 0.0000

---

# 4
VASP calculation (PBE) on a relaxed structure of SmEuBi.

As for the total moment: 7.593 μB per cell. Its symmetry is No. 156. Its final energy is -6.664 eV/atom.

Cell: 4.3444 5.3038 5.3038 Å, 120.00 90.00 90.00°
Sites, in units of the cell vectors:
Eu: 0.6977 0.3333 0.6667
Bi: 0.0727 0.0000 0.0000
Sm: 0.2296 0.6667 0.3333

---

# 5
VASP calculation (PBE) on a relaxed structure of K3Ga5Au2.

As for the total moment: 0.000 μB per cell. Its symmetry is No. 72. Its final energy is -2.709 eV/atom.

Cell: 6.6097 9.4612 9.4612 Å, 73.43 69.56 69.56°
Sites, in units of the cell vectors:
K: 0.2500 0.0000 0.0000
K: 0.7500 0.0000 0.0000
K: 0.3806 0.3762 0.8626
K: 0.6194 0.6238 0.1374
K: 0.8806 0.8626 0.3762
K: 0.1194 0.1374 0.6238
Ga: 0.2500 0.5000 0.5000
Ga: 0.7500 0.5000 0.5000
Ga: 0.5094 0.7406 0.7406
Ga: 0.9906 0.2594 0.2594
Ga: 0.4906 0.2594 0.2594
Ga: 0.0094 0.7406 0.7406
Ga: 0.1191 0.5076 0.2542
Ga: 0.8809 0.4924 0.7458
Ga: 0.6191 0.2542 0.5076
Ga: 0.3809 0.7458 0.4924
Au: 0.1619 0.6884 0.9877
Au: 0.8381 0.3116 0.0123
Au: 0.6619 0.9877 0.6884
Au: 0.3381 0.0123 0.3116

---

# 6
VASP calculation (PBE) on a relaxed structure of Sc3Cr.

As for the total moment: 3.381 μB per cell. Its symmetry is No. 194. Its final energy is -6.988 eV/atom.

Cell: 6.3445 6.3445 4.8830 Å, 90.00 90.00 120.00°
Sites, in units of the cell vectors:
Sc: 0.8277 0.1723 0.2500
Sc: 0.1723 0.8277 0.7500
Sc: 0.8277 0.6554 0.2500
Sc: 0.1723 0.3446 0.7500
Sc: 0.3446 0.1723 0.2500
Sc: 0.6554 0.8277 0.7500
Cr: 0.3333 0.6667 0.2500
Cr: 0.6667 0.3333 0.7500